# SCAN Sc2HgCl, single point on PBEsol structure
# formation energy without anion corrections = -955 meV/atom
# N(E_F) = 0.8283 states/eV/atom
# E = -1.99253 Ry/atom
data_Sc2HgCl
_cell_length_a 3.3818
_cell_length_b 3.4170
_cell_length_c 7.2828
_cell_angle_alpha 90.00
_cell_angle_beta 90.00
_cell_angle_gamma 90.00
_symmetry_space_group_name_H-M 'P m m m'
_symmetry_Int_Tables_number 47
_symmetry_space_group_name_Hall '-P 2 2'
loop_
_atom_site_label
_atom_site_type_symbol
_atom_site_fract_x
_atom_site_fract_y
_atom_site_fract_z
Sc1 Sc 0.0000 0.0000 0.2393
Hg1 Hg 0.5000 0.5000 0.0000
Cl1 Cl 0.5000 0.0000 0.5000

# SCAN Tc5Mo, single point on PBEsol structure
# N(E_F) = 1.1159 states/eV/atom
# relative energy among the computed polymorphs = 8 meV per atom
# formation energy from the elements = 0.09 eV/atom
# E = -2.56800 Ry/atom
data_Tc5Mo
_cell_length_a 2.7269
_cell_length_b 2.7269
_cell_length_c 13.2131
_cell_angle_alpha 90.00
_cell_angle_beta 90.00
_cell_angle_gamma 120.00
_symmetry_space_group_name_H-M 'P -6 m 2'
_symmetry_Int_Tables_number 187
_symmetry_space_group_name_Hall 'P -6 2'
loop_
_atom_site_label
_atom_site_type_symbol
_atom_site_fract_x
_atom_site_fract_y
_atom_site_fract_z
Tc1 Tc 0.0000 0.0000 0.0000
Tc2 Tc 0.0000 0.0000 0.3267
Tc3 Tc 0.6667 0.3333 0.1649
Mo1 Mo 0.6667 0.3333 0.5000

# SCAN MnHgPt, single point on PBEsol structure
# N(E_F) = 0.2590 states/eV/atom
# relative energy among the computed polymorphs = 0 meV per atom
# formation energy from the elements = -0.34 eV/atom
# E = -3.86204 Ry/atom
data_MnHgPt
_cell_length_a 3.3263
_cell_length_b 3.3263
_cell_length_c 8.7857
_cell_angle_alpha 90.00
_cell_angle_beta 90.00
_cell_angle_gamma 90.00
_symmetry_space_group_name_H-M 'I 4 m m'
_symmetry_Int_Tables_number 107
_symmetry_space_group_name_Hall 'I 4 -2'
loop_
_atom_site_label
_atom_site_type_symbol
_atom_site_fract_x
_atom_site_fract_y
_atom_site_fract_z
Mn1 Mn 0.0000 0.0000 0.0000
Hg1 Hg 0.0000 0.0000 0.3235
Pt1 Pt 0.0000 0.0000 0.6421

# SCAN Ba3MgSn, single point on PBEsol structure
# N(E_F) = 1.6166 states/eV/atom
# formation energy from the elements = 0.26 eV/atom
# E = -2.32633 Ry/atom
data_Ba3MgSn
_cell_length_a 6.3181
_cell_length_b 6.3181
_cell_length_c 6.3181
_cell_angle_alpha 90.00
_cell_angle_beta 90.00
_cell_angle_gamma 90.00
_symmetry_space_group_name_H-M 'P m -3 m'
_symmetry_Int_Tables_number 221
_symmetry_space_group_name_Hall '-P 4 2 3'
loop_
_atom_site_label
_atom_site_type_symbol
_atom_site_fract_x
_atom_site_fract_y
_atom_site_fract_z
Ba1 Ba 0.0000 0.0000 0.5000
Mg1 Mg 0.0000 0.0000 0.0000
Sn1 Sn 0.5000 0.5000 0.5000

# SCAN NbPRhS2, single point on PBEsol structure
# formation energy without anion corrections = 514 meV/atom
# N(E_F) = 0.7184 states/eV/atom
# E = -1.38160 Ry/atom
data_NbPRhS2
_cell_length_a 4.4975
_cell_length_b 4.4975
_cell_length_c 4.4337
_cell_angle_alpha 90.00
_cell_angle_beta 90.00
_cell_angle_gamma 90.00
_symmetry_space_group_name_H-M 'P 4/m m m'
_symmetry_Int_Tables_number 123
_symmetry_space_group_name_Hall '-P 4 2'
loop_
_atom_site_label
_atom_site_type_symbol
_atom_site_fract_x
_atom_site_fract_y
_atom_site_fract_z
Nb1 Nb 0.0000 0.0000 0.0000
P1 P 0.5000 0.5000 0.0000
Rh1 Rh 0.5000 0.5000 0.5000
S1 S 0.0000 0.5000 0.5000

# SCAN SrIN2F, single point on PBEsol structure
# formation energy without anion corrections = 288 meV/atom
# N(E_F) = 0.5004 states/eV/atom
# relative energy among the computed polymorphs = 313 meV per atom
# E = -1.17159 Ry/atom
data_SrIN2F
_cell_length_a 5.1727
_cell_length_b 5.1727
_cell_length_c 4.4633
_cell_angle_alpha 90.00
_cell_angle_beta 90.00
_cell_angle_gamma 90.00
_symmetry_space_group_name_H-M 'P 4/m m m'
_symmetry_Int_Tables_number 123
_symmetry_space_group_name_Hall '-P 4 2'
loop_
_atom_site_label
_atom_site_type_symbol
_atom_site_fract_x
_atom_site_fract_y
_atom_site_fract_z
Sr1 Sr 0.0000 0.0000 0.0000
I1 I 0.5000 0.5000 0.5000
N1 N 0.0000 0.5000 0.0000
F1 F 0.0000 0.0000 0.5000